Record 1
The following is a DFT calculation (PBE) of a relaxed MgSnBi2O6 crystal.

## Properties
**Total magnetization**: 0.00 Bohr magnetons per cell
**ΔE_f (raw)**: -1636.1 meV/atom
**Calculated volume**: 13.161 Å³ per atom

Cell and atoms, written as CIF:
```
data_MgSnBi2O6
_symmetry_space_group_name_H-M 'P 1 21/c 1'
_symmetry_Int_Tables_number 14
_symmetry_space_group_name_Hall '-P 2ybc'
_cell_length_a 5.5704
_cell_length_b 5.8953
_cell_length_c 9.7408
_cell_angle_alpha 90.00
_cell_angle_beta 124.63
_cell_angle_gamma 90.00
loop_
_atom_site_label
_atom_site_type_symbol
_atom_site_fract_x
_atom_site_fract_y
_atom_site_fract_z
Mg1 Mg 0.0000 0.0000 0.0000
Sn1 Sn 0.5000 0.0000 0.5000
Bi1 Bi 0.2401 0.0498 0.7498
O1 O 0.1366 0.1882 0.4495
O2 O 0.2654 0.6956 0.4471
O3 O 0.3623 0.0377 0.2505
```

Record 2
The following is a DFT calculation (PBE) of a relaxed PaZn11Co crystal.

## Properties
**DFT total energy**: -2.44 eV/atom
**Total magnetization**: 0.59 Bohr magnetons per cell
**Calculated volume**: 15.344 Å³ per atom

Cell and atoms, written as CIF:
```
data_PaZn11Co
_symmetry_space_group_name_H-M 'C 1 2/m 1'
_symmetry_Int_Tables_number 12
_symmetry_space_group_name_Hall '-C 2y'
_cell_length_a 5.0480
_cell_length_b 12.6865
_cell_length_c 6.7144
_cell_angle_alpha 90.00
_cell_angle_beta 111.91
_cell_angle_gamma 90.00
loop_
_atom_site_label
_atom_site_type_symbol
_atom_site_fract_x
_atom_site_fract_y
_atom_site_fract_z
Pa1 Pa 0.0000 0.0000 0.0000
Zn1 Zn 0.0000 0.5000 0.5000
Zn2 Zn 0.1151 0.3936 0.2195
Zn3 Zn 0.1612 0.1711 0.3592
Zn4 Zn 0.2500 0.2500 0.0000
Co1 Co 0.0000 0.0000 0.5000
```

Record 3
The following is a DFT calculation (PBE) of a relaxed Nb2SbO6 crystal.

## Properties
**Total magnetization**: 3.99 Bohr magnetons per cell
**ΔE_f (raw)**: -2173.9 meV/atom
**Calculated volume**: 13.543 Å³ per atom

Cell and atoms, written as CIF:
```
data_Nb2SbO6
_symmetry_space_group_name_H-M 'C 1 2/c 1'
_symmetry_Int_Tables_number 15
_symmetry_space_group_name_Hall '-C 2yc'
_cell_length_a 17.1798
_cell_length_b 5.0354
_cell_length_c 5.6379
_cell_angle_alpha 90.00
_cell_angle_beta 91.46
_cell_angle_gamma 90.00
loop_
_atom_site_label
_atom_site_type_symbol
_atom_site_fract_x
_atom_site_fract_y
_atom_site_fract_z
Nb1 Nb 0.1733 0.2431 0.1696
Sb1 Sb 0.0000 0.3079 0.7500
O1 O 0.0669 0.4193 0.0811
O2 O 0.1391 0.0421 0.4274
O3 O 0.2199 0.4375 0.8478
```

Record 4
The following is a DFT calculation (PBE) of a relaxed Li2HIr crystal.

## Properties
**Energy above the lowest structure with this stoichiometry**: 46.9 kJ per mole of atoms
**Total magnetization**: 0.46 Bohr magnetons per cell
**Calculated volume**: 10.315 Å³ per atom

Cell and atoms, written as CIF:
```
data_Li2HIr
_symmetry_space_group_name_H-M 'I -4 2 d'
_symmetry_Int_Tables_number 122
_symmetry_space_group_name_Hall 'I -4 2bw'
_cell_length_a 4.9871
_cell_length_b 4.9871
_cell_length_c 6.6355
_cell_angle_alpha 90.00
_cell_angle_beta 90.00
_cell_angle_gamma 90.00
loop_
_atom_site_label
_atom_site_type_symbol
_atom_site_fract_x
_atom_site_fract_y
_atom_site_fract_z
Li1 Li 0.0779 0.2500 0.1250
H1 H 0.0000 0.0000 0.0000
Ir1 Ir 0.0000 0.0000 0.5000
```

Record 5
The following is a DFT calculation (PBE) of a relaxed Ba2Sn3Au2 crystal.

## Properties
**Energy above the lowest structure with this stoichiometry**: 0.0 kJ per mole of atoms
**Total magnetization**: 0.00 Bohr magnetons per cell
**Calculated volume**: 30.288 Å³ per atom

Cell and atoms, written as CIF:
```
data_Ba2Sn3Au2
_symmetry_space_group_name_H-M 'C m c m'
_symmetry_Int_Tables_number 63
_symmetry_space_group_name_Hall '-C 2c 2'
_cell_length_a 5.0917
_cell_length_b 21.6148
_cell_length_c 7.7058
_cell_angle_alpha 90.00
_cell_angle_beta 90.00
_cell_angle_gamma 90.00
loop_
_atom_site_label
_atom_site_type_symbol
_atom_site_fract_x
_atom_site_fract_y
_atom_site_fract_z
Ba1 Ba 0.0000 0.0596 0.2500
Ba2 Ba 0.0000 0.1634 0.7500
Sn1 Sn 0.0000 0.2272 0.2500
Sn2 Sn 0.0000 0.4379 0.0666
Au1 Au 0.0000 0.3134 0.5621
```

Record 6
The following is a DFT calculation (PBE) of a relaxed RbNdHg2Br8 crystal.

## Properties
**Total magnetization**: 0.00 Bohr magnetons per cell
**ΔE_f (raw)**: -1127.0 meV/atom
**Calculated volume**: 43.532 Å³ per atom

Cell and atoms, written as CIF:
```
data_RbNdHg2Br8
_symmetry_space_group_name_H-M 'P -1'
_symmetry_Int_Tables_number 2
_symmetry_space_group_name_Hall '-P 1'
_cell_length_a 6.9384
_cell_length_b 8.1427
_cell_length_c 10.1287
_cell_angle_alpha 112.75
_cell_angle_beta 93.09
_cell_angle_gamma 95.75
loop_
_atom_site_label
_atom_site_type_symbol
_atom_site_fract_x
_atom_site_fract_y
_atom_site_fract_z
Rb1 Rb 0.0000 0.0000 0.0000
Nd1 Nd 0.0000 0.0000 0.5000
Hg1 Hg 0.4369 0.2594 0.7996
Br1 Br 0.1679 0.7983 0.2359
Br2 Br 0.2351 0.8758 0.6756
Br3 Br 0.3074 0.3121 0.5756
Br4 Br 0.4320 0.2966 0.0609
```

Record 7
The following is a DFT calculation (PBE) of a relaxed Ca2CuH2 crystal.

## Properties
**Energy above the lowest structure with this stoichiometry**: 18.6 kJ per mole of atoms
**Total magnetization**: 0.00 Bohr magnetons per cell
**Calculated volume**: 15.491 Å³ per atom

Cell and atoms, written as CIF:
```
data_Ca2CuH2
_symmetry_space_group_name_H-M 'P 4/m b m'
_symmetry_Int_Tables_number 127
_symmetry_space_group_name_Hall '-P 4 2ab'
_cell_length_a 6.9265
_cell_length_b 6.9265
_cell_length_c 3.2290
_cell_angle_alpha 90.00
_cell_angle_beta 90.00
_cell_angle_gamma 90.00
loop_
_atom_site_label
_atom_site_type_symbol
_atom_site_fract_x
_atom_site_fract_y
_atom_site_fract_z
Ca1 Ca 0.1778 0.3222 0.0000
Cu1 Cu 0.0000 0.0000 0.5000
H1 H 0.1258 0.6258 0.5000
```

Record 8
The following is a DFT calculation (PBE) of a relaxed LaErAu crystal.

## Properties
**Energy above the lowest structure with this stoichiometry**: 74.9 kJ per mole of atoms
**Total magnetization**: 0.00 Bohr magnetons per cell
**Calculated volume**: 26.606 Å³ per atom

Cell and atoms, written as CIF:
```
data_LaErAu
_symmetry_space_group_name_H-M 'I 4 m m'
_symmetry_Int_Tables_number 107
_symmetry_space_group_name_Hall 'I 4 -2'
_cell_length_a 3.1836
_cell_length_b 3.1836
_cell_length_c 15.7510
_cell_angle_alpha 90.00
_cell_angle_beta 90.00
_cell_angle_gamma 90.00
loop_
_atom_site_label
_atom_site_type_symbol
_atom_site_fract_x
_atom_site_fract_y
_atom_site_fract_z
La1 La 0.0000 0.0000 0.0000
Er1 Er 0.0000 0.0000 0.8045
Au1 Au 0.0000 0.0000 0.6321
```

Record 9
The following is a DFT calculation (PBE) of a relaxed ReSe3 crystal.

## Properties
**Energy above the lowest structure with this stoichiometry**: 34.4 kJ per mole of atoms
**Total magnetization**: 0.00 Bohr magnetons per cell
**ΔE_f (raw)**: 328.7 meV/atom
**Calculated volume**: 20.678 Å³ per atom

Cell and atoms, written as CIF:
```
data_ReSe3
_symmetry_space_group_name_H-M 'I m m m'
_symmetry_Int_Tables_number 71
_symmetry_space_group_name_Hall '-I 2 2'
_cell_length_a 3.0899
_cell_length_b 4.5456
_cell_length_c 11.7776
_cell_angle_alpha 90.00
_cell_angle_beta 90.00
_cell_angle_gamma 90.00
loop_
_atom_site_label
_atom_site_type_symbol
_atom_site_fract_x
_atom_site_fract_y
_atom_site_fract_z
Re1 Re 0.0000 0.0000 0.0000
Se1 Se 0.0000 0.0000 0.5000
Se2 Se 0.0000 0.5000 0.3277
```

Record 10
The following is a DFT calculation (PBE) of a relaxed WSe2I crystal.

## Properties
**Energy above the lowest structure with this stoichiometry**: 10.7 kJ per mole of atoms
**Total magnetization**: 0.00 Bohr magnetons per cell
**ΔE_f (raw)**: -168.7 meV/atom
**Calculated volume**: 35.526 Å³ per atom

Cell and atoms, written as CIF:
```
data_WSe2I
_symmetry_space_group_name_H-M 'C 1 c 1'
_symmetry_Int_Tables_number 9
_symmetry_space_group_name_Hall 'C -2yc'
_cell_length_a 8.5852
_cell_length_b 11.3511
_cell_length_c 6.2118
_cell_angle_alpha 90.00
_cell_angle_beta 110.12
_cell_angle_gamma 90.00
loop_
_atom_site_label
_atom_site_type_symbol
_atom_site_fract_x
_atom_site_fract_y
_atom_site_fract_z
W1 W 0.0000 0.0006 0.0000
Se1 Se 0.2418 0.0110 0.3650
Se2 Se 0.3278 0.3814 0.1684
I1 I 0.4355 0.2955 0.7214
```

Record 11
The following is a DFT calculation (PBE) of a relaxed La3Br3N crystal.

## Properties
**Energy above the lowest structure with this stoichiometry**: 0.0 kJ per mole of atoms
**Total magnetization**: 0.00 Bohr magnetons per cell
**ΔE_f (raw)**: -1629.4 meV/atom
**Calculated volume**: 28.164 Å³ per atom

Cell and atoms, written as CIF:
```
data_La3Br3N
_symmetry_space_group_name_H-M 'P 1 21/m 1'
_symmetry_Int_Tables_number 11
_symmetry_space_group_name_Hall '-P 2yb'
_cell_length_a 8.6064
_cell_length_b 3.9381
_cell_length_c 11.6482
_cell_angle_alpha 90.00
_cell_angle_beta 92.88
_cell_angle_gamma 90.00
loop_
_atom_site_label
_atom_site_type_symbol
_atom_site_fract_x
_atom_site_fract_y
_atom_site_fract_z
La1 La 0.0870 0.2500 0.3957
La2 La 0.1232 0.2500 0.8328
La3 La 0.3142 0.7500 0.6214
Br1 Br 0.1401 0.2500 0.1217
Br2 Br 0.3800 0.7500 0.3631
Br3 Br 0.3854 0.7500 0.8781
N1 N 0.1213 0.2500 0.6173
```

Record 12
The following is a DFT calculation (PBE) of a relaxed Rb2VCdAg crystal.

## Properties
**DFT total energy**: -2.11 eV/atom
**Total magnetization**: 4.21 Bohr magnetons per cell
**Calculated volume**: 46.375 Å³ per atom

Cell and atoms, written as CIF:
```
data_Rb2VCdAg
_symmetry_space_group_name_H-M 'P 4/m m m'
_symmetry_Int_Tables_number 123
_symmetry_space_group_name_Hall '-P 4 2'
_cell_length_a 6.5339
_cell_length_b 6.5339
_cell_length_c 5.4313
_cell_angle_alpha 90.00
_cell_angle_beta 90.00
_cell_angle_gamma 90.00
loop_
_atom_site_label
_atom_site_type_symbol
_atom_site_fract_x
_atom_site_fract_y
_atom_site_fract_z
Rb1 Rb 0.0000 0.5000 0.0000
V1 V 0.0000 0.0000 0.5000
Cd1 Cd 0.5000 0.5000 0.5000
Ag1 Ag 0.5000 0.5000 0.0000
```